Density functional theory data (PBE-GGA) for a geometry-optimized PrErCCl structure.

```
PrErCCl
1.0
3.6789 -0.0005 -0.0001
-1.8391 3.1864 -0.0001
-1.8391 -1.0617 7.0951
Pr Cl Er C
1 1 1 1
Direct
0.5104 0.1531 0.6789
0.9533 0.3747 0.3430
0.0954 0.9457 0.0564
0.3188 0.5573 0.8913
```

Calculated values
DFT total energy, eV/atom: -6.15
Fermi-level density of states, states/eV per cell: 2.214